Record 1
The following is a DFT calculation (GGA-PBE) of an optimized crystal structure of CeTmTcNi.

```
CeTmTcNi
1.0
0.0000 3.3958 3.3958
3.3958 0.0000 3.3958
3.3958 3.3958 0.0000
Ce Tm Tc Ni
1 1 1 1
direct
0.0000 0.0000 0.0000
0.5000 0.5000 0.5000
0.2500 0.2500 0.2500
0.7500 0.7500 0.7500
```

Values from the calculation:
The calculated formation energy comes out at -0.195 eV per atom. The symmetry is F-43m. Its size of the total moment is 0.000 μB per atom.

Record 2
The following is a DFT calculation (GGA-PBE) of an optimized crystal structure of PrNd2Au.

```
PrNd2Au
1.0
1.8430 1.0640 11.3356
-1.8430 1.0640 11.3356
0.0000 -2.1281 11.3356
Pr Nd Au
1 2 1
direct
0.0000 0.0000 0.0000
0.1024 0.1024 0.1024
0.8976 0.8976 0.8976
0.5000 0.5000 0.5000
```

Values from the calculation:
The calculated formation energy comes out at -0.052 eV per atom. The symmetry is R-3m. Its size of the total moment is 0.007 μB per atom. Its relative energy among the computed polymorphs is 338 meV per atom.

Record 3
The following is a DFT calculation (GGA-PBE) of an optimized crystal structure of PmPr4Nd3S8.

```
PmPr4Nd3S8
1.0
4.0822 2.3569 6.6775
-4.0822 2.3569 6.6775
0.0000 -4.7137 6.6775
Pm Pr Nd S
1 4 3 8
direct
0.0000 0.0000 0.0000
0.0000 0.0000 0.5000
0.0000 0.5000 0.0000
0.5000 0.0000 0.0000
0.5000 0.5000 0.5000
0.0000 0.5000 0.5000
0.5000 0.0000 0.5000
0.5000 0.5000 0.0000
0.2476 0.2476 0.7501
0.2476 0.7501 0.2476
0.2499 0.7524 0.7524
0.2512 0.2512 0.2512
0.7488 0.7488 0.7488
0.7501 0.2476 0.2476
0.7524 0.2499 0.7524
0.7524 0.7524 0.2499
```

Values from the calculation:
The symmetry is R-3m. Its size of the total moment is 0.000 μB per atom. The uncorrected formation energy is -194.9 kJ per mole of atoms.

Record 4
The following is a DFT calculation (GGA-PBE) of an optimized crystal structure of BaCaCrAu2.

```
BaCaCrAu2
1.0
5.8564 0.0000 0.0000
0.0000 5.8564 0.0000
0.0000 0.0000 5.8833
Ba Ca Cr Au
1 1 1 2
direct
0.0000 0.0000 0.0000
0.5000 0.5000 0.5000
0.0000 0.0000 0.5000
0.0000 0.5000 0.0000
0.5000 0.0000 0.0000
```

Values from the calculation:
The calculated formation energy comes out at 0.700 eV per atom. The symmetry is P4/mmm. Its size of the total moment is 1.002 μB per atom.

Record 5
The following is a DFT calculation (GGA-PBE) of an optimized crystal structure of CaTaCo2Pb.

```
CaTaCo2Pb
1.0
4.7605 0.0000 0.0000
0.0000 4.7605 0.0000
0.0000 0.0000 5.4243
Ca Ta Co Pb
1 1 2 1
direct
0.0000 0.0000 0.0000
0.5000 0.5000 0.0000
0.0000 0.5000 0.5000
0.5000 0.0000 0.5000
0.0000 0.0000 0.5000
```

Values from the calculation:
The calculated formation energy comes out at 1.780 eV per atom. The symmetry is P4/mmm. Its size of the total moment is 0.779 μB per atom.

Record 6
The following is a DFT calculation (GGA-PBE) of an optimized crystal structure of GaRhIO6.

```
GaRhIO6
1.0
5.1900 0.0000 0.0000
-2.5950 4.4947 0.0000
0.0000 0.0000 8.7523
Ga Rh I O
2 2 2 12
direct
0.3333 0.6667 0.2500
0.6667 0.3333 0.7500
0.0000 0.0000 0.0000
0.0000 0.0000 0.5000
0.3333 0.6667 0.7500
0.6667 0.3333 0.2500
0.0055 0.3436 0.1269
0.0055 0.6619 0.3731
0.3381 0.3436 0.3731
0.3381 0.9945 0.1269
0.3436 0.0055 0.6269
0.3436 0.3381 0.8731
0.6564 0.6619 0.1269
0.6564 0.9945 0.3731
0.6619 0.0055 0.8731
0.6619 0.6564 0.6269
0.9945 0.3381 0.6269
0.9945 0.6564 0.8731
```

Values from the calculation:
The symmetry is P-31c. Its size of the total moment is 0.000 μB per atom. The uncorrected formation energy is -63.6 kJ per mole of atoms.